(1)
A relaxed structure of SmAlIn, computed with PBE.

Volume, A^3/atom: 31.5
Energy of formation from the pure elements, eV/atom: 0.308

Unit cell a=4.8573 b=6.3512 c=6.3512 alpha=105.48 beta=90.00 gamma=90.00
Last column: nearest neighbours and their distance in Å.
Sites, in units of the cell vectors:
Al 0.0000 0.6718 0.6718  3 In 2.52-2.76, 1 Al 2.64
Al 0.0000 0.3282 0.3282  3 In 2.52-2.76, 1 Al 2.64
Sm 0.5000 0.1891 0.8109  3 In 3.09-3.14
Sm 0.5000 0.8109 0.1891  3 In 3.09-3.14
In 0.0000 0.0000 0.0000  2 Al 2.52
In 0.5000 0.5000 0.5000  4 Al 2.76


(2)
A relaxed structure of Sm3Al2In2, computed with PBE.

Volume, A^3/atom: 26.1
Energy of formation from the pure elements, eV/atom: -0.434

Unit cell a=4.6994 b=3.8107 c=10.6317 alpha=100.32 beta=102.77 gamma=90.00
Last column: nearest neighbours and their distance in Å.
Sites, in units of the cell vectors:
Sm 0.0000 0.0000 0.0000  8 Al 3.29, 4 In 3.44
Sm 0.6935 0.1935 0.3870  5 In 3.21-3.39, 2 Al 3.26
Sm 0.3065 0.8065 0.6130  5 In 3.21-3.39, 2 Al 3.26
Al 0.4361 0.4361 0.8723  1 Al 2.60, 2 In 2.82
Al 0.5639 0.5639 0.1277  1 Al 2.60, 2 In 2.82
In 0.1402 0.6402 0.2805  2 Al 2.82
In 0.8598 0.3598 0.7195  2 Al 2.82


(3)
A relaxed structure of SmAlIn, computed with PBE.

Volume, A^3/atom: 24.1
Energy of formation from the pure elements, eV/atom: -0.457

Unit cell a=3.6501 b=4.7807 c=4.7807 alpha=120.00 beta=90.00 gamma=90.00
Last column: nearest neighbours and their distance in Å.
Sites, in units of the cell vectors:
In 0.1667 0.3333 0.6667  3 Al 2.76
Al 0.1667 0.0000 0.0000  3 In 2.76
Sm 0.6666 0.6667 0.3333  6 In 3.31, 6 Al 3.31, 2 Sm 3.65


(4)
A relaxed structure of SmAlIn, computed with PBE.

Volume, A^3/atom: 24.5
Energy of formation from the pure elements, eV/atom: -0.246

Unit cell a=3.5077 b=3.5077 c=6.4785 alpha=105.71 beta=105.71 gamma=90.00
Last column: nearest neighbours and their distance in Å.
Sites, in units of the cell vectors:
Al 0.9387 0.9387 0.8773  4 In 2.97, 4 Sm 3.21
Sm 0.6092 0.6092 0.2183  4 Al 3.21, 4 In 3.39, 4 Sm 3.51
In 0.3022 0.3022 0.6044  4 Al 2.97


(5)
A relaxed structure of SmAlIn, computed with PBE.

Volume, A^3/atom: 24.4
Energy of formation from the pure elements, eV/atom: -0.463

Unit cell a=4.5342 b=6.2057 c=6.1169 alpha=73.52 beta=68.25 gamma=68.57
Last column: nearest neighbours and their distance in Å.
Sites, in units of the cell vectors:
Al 0.1494 0.8158 0.8854  1 Al 2.68, 3 In 2.77-2.94
Al 0.8506 0.1842 0.1146  1 Al 2.68, 3 In 2.77-2.94
Sm 0.4390 0.8109 0.3110  5 Al 3.20-3.31, 5 In 3.34-3.38
Sm 0.5610 0.1891 0.6890  5 Al 3.20-3.31, 5 In 3.34-3.38
In 0.8293 0.6036 0.7378  3 Al 2.77-2.94
In 0.1707 0.3964 0.2622  3 Al 2.77-2.94


(6)
A relaxed structure of Sm3Al4In2, computed with PBE.

Volume, A^3/atom: 23.5
Energy of formation from the pure elements, eV/atom: -0.461

Unit cell a=4.6988 b=5.9776 c=8.9167 alpha=111.54 beta=90.00 gamma=113.14
Last column: nearest neighbours and their distance in Å.
Sites, in units of the cell vectors:
Sm 0.3362 0.6724 0.3306  8 Al 3.21-3.39, 4 In 3.26-3.30
Sm 0.6638 0.3276 0.6694  8 Al 3.21-3.39, 4 In 3.26-3.30
Sm 0.0000 0.0000 0.0000  8 Al 3.17-3.36, 4 In 3.30
Al 0.0496 0.0992 0.3880  1 Al 2.63, 2 In 2.75
Al 0.7332 0.4664 0.0579  2 Al 2.65, 1 In 2.76
Al 0.9504 0.9008 0.6120  1 Al 2.63, 2 In 2.75
Al 0.2668 0.5336 0.9421  2 Al 2.65, 1 In 2.76
In 0.6178 0.2356 0.2812  3 Al 2.75-2.76
In 0.3822 0.7644 0.7188  3 Al 2.75-2.76


(7)
A relaxed structure of Sm12Al2In5, computed with PBE.

Volume, A^3/atom: 30.3
Energy of formation from the pure elements, eV/atom: -0.171

Unit cell a=8.6180 b=8.9710 c=8.5691 alpha=83.46 beta=90.00 gamma=118.71
Last column: nearest neighbours and their distance in Å.
Sites, in units of the cell vectors:
Sm 0.4119 0.2769 0.5908  4 In 3.22-3.44, 2 Sm 3.35-3.45
Sm 0.1350 0.7231 0.4092  4 In 3.22-3.44, 2 Sm 3.35-3.45
Sm 0.5399 0.0798 0.2999  2 Al 3.15, 1 In 3.21, 5 Sm 3.41-3.49
Sm 0.5881 0.7231 0.4092  4 In 3.22-3.44, 2 Sm 3.35-3.45
Sm 0.6423 0.6739 0.8484  1 Al 3.20, 3 In 3.24-3.40, 2 Sm 3.35-3.41
Sm 0.0509 0.1018 0.8401  1 Sm 2.99, 2 Al 3.10, 2 In 3.12-3.29
Sm 0.4601 0.9202 0.7001  2 Al 3.15, 1 In 3.21, 5 Sm 3.41-3.49
Sm 0.3577 0.3261 0.1516  1 Al 3.20, 3 In 3.24-3.40, 2 Sm 3.35-3.41
Sm 0.9684 0.3261 0.1516  1 Al 3.20, 3 In 3.24-3.40, 2 Sm 3.35-3.41
Sm 0.9491 0.8982 0.1599  1 Sm 2.99, 2 Al 3.10, 2 In 3.12-3.29
Sm 0.8650 0.2769 0.5908  4 In 3.22-3.44, 2 Sm 3.35-3.45
Sm 0.0316 0.6739 0.8484  1 Al 3.20, 3 In 3.24-3.40, 2 Sm 3.35-3.41
In 0.6485 0.2971 0.9060  2 Al 2.86
In 0.3515 0.7029 0.0940  2 Al 2.86
In 0.7440 0.4880 0.2971  8 Sm 3.21-3.44
In 0.2560 0.5120 0.7029  8 Sm 3.21-3.44
In 0.0000 0.0000 0.5000  6 Sm 3.12-3.37
Al 0.6845 0.0000 0.0000  2 In 2.86, 6 Sm 3.10-3.20, 1 Al 3.18
Al 0.3155 0.0000 0.0000  2 In 2.86, 6 Sm 3.10-3.20, 1 Al 3.18


(8)
A relaxed structure of Sm12AlIn6, computed with PBE.

Volume, A^3/atom: 29.1
Energy of formation from the pure elements, eV/atom: -0.255

Unit cell a=8.2113 b=8.2113 c=8.2113 alpha=89.23 beta=89.23 gamma=89.23
Last column: nearest neighbours and their distance in Å.
Sites, in units of the cell vectors:
Sm 0.3728 0.0655 0.1202  3 Sm 3.05-3.28, 1 In 3.24, 1 Al 3.28
Sm 0.1897 0.4755 0.5654  4 In 3.31-3.43, 4 Sm 3.33-3.51
Sm 0.8103 0.5245 0.4346  4 In 3.31-3.43, 4 Sm 3.33-3.51
Sm 0.5245 0.4346 0.8103  4 In 3.31-3.43, 4 Sm 3.33-3.51
Sm 0.5654 0.1897 0.4755  4 In 3.31-3.43, 4 Sm 3.33-3.51
Sm 0.0655 0.1202 0.3728  3 Sm 3.05-3.28, 1 In 3.24, 1 Al 3.28
Sm 0.6272 0.9345 0.8798  3 Sm 3.05-3.28, 1 In 3.24, 1 Al 3.28
Sm 0.9345 0.8798 0.6272  3 Sm 3.05-3.28, 1 In 3.24, 1 Al 3.28
Sm 0.4346 0.8103 0.5245  4 In 3.31-3.43, 4 Sm 3.33-3.51
Sm 0.4755 0.5654 0.1897  4 In 3.31-3.43, 4 Sm 3.33-3.51
Sm 0.1202 0.3728 0.0655  3 Sm 3.05-3.28, 1 In 3.24, 1 Al 3.28
Sm 0.8798 0.6272 0.9345  3 Sm 3.05-3.28, 1 In 3.24, 1 Al 3.28
In 0.2639 0.1195 0.7456  1 Al 3.15, 8 Sm 3.24-3.52, 2 In 3.33
In 0.7456 0.2639 0.1195  1 Al 3.15, 8 Sm 3.24-3.52, 2 In 3.33
In 0.2544 0.7361 0.8805  1 Al 3.15, 8 Sm 3.24-3.52, 2 In 3.33
In 0.8805 0.2544 0.7361  1 Al 3.15, 8 Sm 3.24-3.52, 2 In 3.33
In 0.1195 0.7456 0.2639  1 Al 3.15, 8 Sm 3.24-3.52, 2 In 3.33
In 0.7361 0.8805 0.2544  1 Al 3.15, 8 Sm 3.24-3.52, 2 In 3.33
Al 0.0000 0.0000 0.0000  6 In 3.15, 6 Sm 3.28


The calculation returns the following magnetic moment values, one per record and in order: 0.062; 0.123; 0.000; 0.000; 0.000; 0.000; 0.000; 0.000 μB/atom.